This record from the Alexandria database describes a geometry-optimized SiAs2OsBr structure. The functional is PBE.

The space group is P4/mmm (No. 123) and the conventional cell measures 4.761, 4.761 and 4.679 Å, with angles of 90.00, 90.00 and 90.00 degrees. The inequivalent atoms are Si at (0.000, 0.000, 0.000), As at (0.000, 0.500, 0.000), Os at (0.500, 0.500, 0.500) and Br at (0.000, 0.000, 0.500).

The value obtained for the formation energy without anion corrections is 701 kJ/mol of formula units. The raw total energy is -4.072 eV/atom. The density of states at the Fermi level comes out at 0.834 states/eV/atom. The calculation puts the excess energy over the best structure of this formula in the dataset at 565 meV per atom. As for the density: 7.02 Mg/m³.